No. 1
# CeThTcHg

CeThTcHg after structural relaxation (PBE-GGA, Alexandria via LeMat-Bulk).

Cell: 3.6341 4.9181 5.4293 Å, 90.00 90.00 90.00°
With the nearest neighbours (Å) after each atom.
Fractional coordinates of all 4 atoms:
Ce1 0.5000 0.0000 0.7845  2 Tc 3.00, 4 Hg 3.09
Th1 0.5000 0.5000 0.3412  4 Tc 3.12, 4 Hg 3.16-3.37, 2 Ce 3.44
Tc1 0.0000 0.0000 0.2252  2 Ce 3.00, 4 Th 3.12, 2 Hg 3.14
Hg1 0.0000 0.5000 0.8644  4 Ce 3.09, 2 Tc 3.14, 4 Th 3.16-3.37

Results
Volume   97 Å³/cell
E_form   -0.07 eV/atom
E above lowest polymorph   0 meV/atom

=====

No. 2
# PaTe2O7

PaTe2O7 after structural relaxation (PBE-GGA, Alexandria via LeMat-Bulk).

Cell: 6.7634 6.8193 9.0336 Å, 69.00 68.02 60.27°
With the nearest neighbours (Å) after each atom.
Fractional coordinates of all 20 atoms:
Pa1 0.7356 0.2500 0.7500  6 O 2.15-2.29
Pa2 0.2644 0.7500 0.2500  6 O 2.15-2.29
Te1 0.4184 0.9121 0.7562  3 O 1.89-2.10
Te2 0.9132 0.4121 0.2562  3 O 1.89-2.10
Te3 0.0868 0.5879 0.7438  3 O 1.89-2.10
Te4 0.5816 0.0879 0.2438  3 O 1.89-2.10
O1 0.4241 0.6049 0.7504  1 Te 2.10, 1 Pa 2.29
O2 0.2207 0.1049 0.2504  1 Te 2.10, 1 Pa 2.29
O3 0.3693 0.8278 0.9859  1 Te 1.89
O4 0.0950 0.0226 0.7553  1 Te 1.93, 1 Pa 2.15
O5 0.3588 0.2500 0.7500  2 Te 2.12
O6 0.8170 0.3278 0.4859  1 Te 1.89
O7 0.8729 0.4774 0.7447  1 Te 1.93, 1 Pa 2.15
O8 0.1271 0.5226 0.2553  1 Te 1.93, 1 Pa 2.15
O9 0.1830 0.6722 0.5141  1 Te 1.89
O10 0.6412 0.7500 0.2500  2 Te 2.12
O11 0.9050 0.9774 0.2447  1 Te 1.93, 1 Pa 2.15
O12 0.6307 0.1722 0.0141  1 Te 1.89
O13 0.7793 0.8951 0.7496  1 Te 2.10, 1 Pa 2.29
O14 0.5759 0.3951 0.2496  1 Te 2.10, 1 Pa 2.29

Results
Volume   328 Å³/cell
Uncorrected formation energy   -1.81 eV per atom

=====

No. 3
# NaPm4Nd3Se8

NaPm4Nd3Se8 after structural relaxation (PBE-GGA, Alexandria via LeMat-Bulk).

Cell: 8.4242 8.4253 8.4247 Å, 120.00 120.00 90.00°
With the nearest neighbours (Å) after each atom.
Fractional coordinates of all 16 atoms:
Na1 0.0000 0.5000 0.0000  6 Se 2.96
Pm1 0.5000 0.0000 0.0000  6 Se 3.00
Pm2 0.5000 0.0000 0.5000  6 Se 2.97
Pm3 0.0000 0.0000 0.0000  6 Se 2.96-2.97
Pm4 0.0000 0.0000 0.5000  6 Se 2.97
Nd1 0.5000 0.5000 0.0000  6 Se 2.99
Nd2 0.5000 0.5000 0.5000  6 Se 2.99
Nd3 0.0000 0.5000 0.5000  6 Se 2.99
Se1 0.2484 0.7502 0.0021  1 Na 2.96, 3 Pm 2.97-3.00, 2 Nd 2.99
Se2 0.2485 0.7505 0.4971  1 Na 2.96, 3 Pm 2.97-3.00, 2 Nd 2.99
Se3 0.2488 0.2470 0.4977  3 Pm 2.96-2.97, 3 Nd 2.99
Se4 0.7537 0.7502 0.0021  1 Na 2.96, 3 Pm 2.97-3.00, 2 Nd 2.99
Se5 0.2463 0.2498 0.9979  1 Na 2.96, 3 Pm 2.97-3.00, 2 Nd 2.99
Se6 0.7512 0.7530 0.5023  3 Pm 2.96-2.97, 3 Nd 2.99
Se7 0.7515 0.2495 0.5029  1 Na 2.96, 3 Pm 2.97-3.00, 2 Nd 2.99
Se8 0.7516 0.2498 0.9979  1 Na 2.96, 3 Pm 2.97-3.00, 2 Nd 2.99

Results
Volume   423 Å³/cell
Uncorrected formation energy   -1.80 eV per atom

=====

No. 4
# MgFe2Mo

MgFe2Mo after structural relaxation (PBE-GGA, Alexandria via LeMat-Bulk).

Cell: 2.9171 2.9175 6.7769 Å, 90.00 90.00 90.00°
With the nearest neighbours (Å) after each atom.
Fractional coordinates of all 4 atoms:
Fe1 0.0000 0.0000 0.0168  4 Fe 2.45, 4 Mo 2.57
Fe2 0.5000 0.5000 0.2118  4 Fe 2.45
Mg1 0.0000 0.0000 0.4801  4 Fe 2.75, 4 Mg 2.92, 4 Mo 2.95
Mo1 0.5000 0.5000 0.7913  5 Fe 2.57-2.85

Results
Volume   58 Å³/cell
E_form   0.23 eV/atom

=====

No. 5
# SrSc2Zn

SrSc2Zn after structural relaxation (PBE-GGA, Alexandria via LeMat-Bulk).

Cell: 6.4768 6.4768 6.4768 Å, 146.99 133.50 58.20°
With the nearest neighbours (Å) after each atom.
Fractional coordinates of all 4 atoms:
Sc1 0.0538 0.0538 0.0000  2 Zn 2.73
Sc2 0.7494 0.2494 0.5000  4 Zn 3.16, 2 Sc 3.38, 2 Sr 3.53
Sr1 0.4644 0.4644 0.0000  2 Zn 3.21, 6 Sc 3.31-3.53
Zn1 0.2324 0.7324 0.5000  2 Sc 2.73

Results
Volume   106 Å³/cell
E_form   0.14 eV/atom

=====

No. 6
# PmDyYEr3

PmDyYEr3 after structural relaxation (PBE-GGA, Alexandria via LeMat-Bulk).

Cell: 5.7173 6.5356 11.3807 Å, 90.00 90.00 115.94°
With the nearest neighbours (Å) after each atom.
Fractional coordinates of all 12 atoms:
Pm1 0.5239 0.0479 0.7500  6 Er 3.20-3.58, 1 Y 3.57
Pm2 0.4761 0.9521 0.2500  6 Er 3.20-3.58, 1 Y 3.57
Dy1 0.0000 0.0000 0.5000  6 Er 3.33-3.52, 2 Y 3.49
Dy2 0.0000 0.0000 0.0000  6 Er 3.33-3.52, 2 Y 3.49
Y1 0.8273 0.6547 0.7500  2 Dy 3.49, 9 Er 3.56-3.85, 3 Pm 3.57-3.68
Y2 0.1727 0.3453 0.2500  2 Dy 3.49, 9 Er 3.56-3.85, 3 Pm 3.57-3.68
Er1 0.6736 0.3471 0.4763  3 Er 3.33-3.42, 2 Pm 3.47-3.58, 2 Dy 3.52, 1 Y 3.60
Er2 0.3264 0.6529 0.5237  3 Er 3.33-3.42, 2 Pm 3.47-3.58, 2 Dy 3.52, 1 Y 3.60
Er3 0.3264 0.6529 0.9763  3 Er 3.33-3.42, 2 Pm 3.47-3.58, 2 Dy 3.52, 1 Y 3.60
Er4 0.6736 0.3471 0.0237  3 Er 3.33-3.42, 2 Pm 3.47-3.58, 2 Dy 3.52, 1 Y 3.60
Er5 0.1471 0.2942 0.7500  2 Pm 3.20, 2 Er 3.33, 2 Dy 3.33, 2 Y 3.56
Er6 0.8529 0.7058 0.2500  2 Pm 3.20, 2 Er 3.33, 2 Dy 3.33, 2 Y 3.56

Results
Volume   382 Å³/cell
E_form   0.12 eV/atom

=====

No. 7
# BaTl2ZnCu

BaTl2ZnCu after structural relaxation (PBE-GGA, Alexandria via LeMat-Bulk).

Cell: 5.3409 5.3409 4.9523 Å, 90.00 90.00 90.00°
With the nearest neighbours (Å) after each atom.
Fractional coordinates of all 5 atoms:
Zn1 0.0000 0.0000 0.5000  2 Cu 2.48
Tl1 0.0000 0.5000 0.0000  2 Cu 2.67
Tl2 0.5000 0.0000 0.0000  2 Cu 2.67
Ba1 0.5000 0.5000 0.5000  8 Tl 3.64, 4 Zn 3.78
Cu1 0.0000 0.0000 0.0000  2 Zn 2.48, 4 Tl 2.67

Results
Volume   141 Å³/cell
E_form   -0.05 eV/atom

=====

No. 8
# Sc4Ga

Sc4Ga after structural relaxation (PBE-GGA, Alexandria via LeMat-Bulk).

Cell: 5.1232 5.1232 5.1232 Å, 90.00 90.00 90.00°
With the nearest neighbours (Å) after each atom.
Fractional coordinates of all 5 atoms:
Sc1 0.0000 0.0000 0.0000  12 Sc 3.62
Sc2 0.5000 0.0000 0.5000  2 Ga 2.56
Sc3 0.0000 0.5000 0.5000  2 Ga 2.56
Sc4 0.5000 0.5000 0.0000  2 Ga 2.56
Ga1 0.5000 0.5000 0.5000  6 Sc 2.56

Results
Volume   134 Å³/cell
E_form   0.19 eV/atom
E above lowest polymorph   352 meV/atom

=====

No. 9
# Cs3Mn2Cl8

Cs3Mn2Cl8 after structural relaxation (PBE-GGA, Alexandria via LeMat-Bulk).

Cell: 7.3882 7.3882 10.5706 Å, 69.55 69.55 60.00°
With the nearest neighbours (Å) after each atom.
Fractional coordinates of all 13 atoms:
Cs1 0.0000 0.0000 0.0000  6 Cl 3.66
Cs2 0.7914 0.7914 0.6257  10 Cl 3.50-3.75
Cs3 0.2086 0.2086 0.3743  10 Cl 3.50-3.75
Mn1 0.5922 0.5922 0.2233  4 Cl 2.28-2.29
Mn2 0.4078 0.4078 0.7767  4 Cl 2.28-2.29
Cl1 0.6709 0.6709 0.9874  1 Mn 2.28
Cl2 0.3291 0.3291 0.0126  1 Mn 2.28
Cl3 0.2304 0.7310 0.3075  1 Mn 2.29
Cl4 0.7310 0.2304 0.3075  1 Mn 2.29
Cl5 0.7310 0.7310 0.3075  1 Mn 2.29
Cl6 0.2690 0.7696 0.6925  1 Mn 2.29
Cl7 0.7696 0.2690 0.6925  1 Mn 2.29
Cl8 0.2690 0.2690 0.6925  1 Mn 2.29

Results
Volume   457 Å³/cell
Uncorrected formation energy   -1.51 eV per atom

=====

No. 10
# Ti6ZnNi12

Ti6ZnNi12 after structural relaxation (PBE-GGA, Alexandria via LeMat-Bulk).

Cell: 6.9204 6.9204 6.9204 Å, 108.47 108.47 108.47°
With the nearest neighbours (Å) after each atom.
Fractional coordinates of all 19 atoms:
Ti1 0.7516 0.3099 0.3099  6 Ni 2.36-2.52
Ti2 0.3099 0.3099 0.7516  6 Ni 2.36-2.52
Ti3 0.3099 0.7516 0.3099  6 Ni 2.36-2.52
Ti4 0.6901 0.6901 0.2484  6 Ni 2.36-2.52
Ti5 0.2484 0.6901 0.6901  6 Ni 2.36-2.52
Ti6 0.6901 0.2484 0.6901  6 Ni 2.36-2.52
Zn1 0.0000 0.0000 0.0000  6 Ni 2.52
Ni1 0.8905 0.1095 0.5000  4 Ti 2.40-2.47, 3 Ni 2.46-2.66
Ni2 0.8552 0.6395 0.6395  2 Ti 2.36-2.52, 2 Ni 2.42, 1 Zn 2.52
Ni3 0.6395 0.6395 0.8552  2 Ti 2.36-2.52, 2 Ni 2.42, 1 Zn 2.52
Ni4 0.3605 0.1448 0.3605  2 Ti 2.36-2.52, 2 Ni 2.42, 1 Zn 2.52
Ni5 0.3605 0.3605 0.1448  2 Ti 2.36-2.52, 2 Ni 2.42, 1 Zn 2.52
Ni6 0.1448 0.3605 0.3605  2 Ti 2.36-2.52, 2 Ni 2.42, 1 Zn 2.52
Ni7 0.1095 0.5000 0.8905  4 Ti 2.40-2.47, 3 Ni 2.46-2.66
Ni8 0.5000 0.8905 0.1095  4 Ti 2.40-2.47, 3 Ni 2.46-2.66
Ni9 0.1095 0.8905 0.5000  4 Ti 2.40-2.47, 3 Ni 2.46-2.66
Ni10 0.8905 0.5000 0.1095  4 Ti 2.40-2.47, 3 Ni 2.46-2.66
Ni11 0.5000 0.1095 0.8905  4 Ti 2.40-2.47, 3 Ni 2.46-2.66
Ni12 0.6395 0.8552 0.6395  2 Ti 2.36-2.52, 2 Ni 2.42, 1 Zn 2.52

Results
Volume   264 Å³/cell
E_form   -0.08 eV/atom

=====

No. 11
# Na2Sr5Tl2

Na2Sr5Tl2 after structural relaxation (PBE-GGA, Alexandria via LeMat-Bulk).

Cell: 9.2085 9.1974 10.4071 Å, 90.00 63.74 90.00°
With the nearest neighbours (Å) after each atom.
Fractional coordinates of all 18 atoms:
Na1 0.2192 0.0000 0.5616  7 Sr 3.81-4.09
Na2 0.7192 0.5000 0.5616  7 Sr 3.81-4.09
Na3 0.7808 0.0000 0.4384  7 Sr 3.81-4.09
Na4 0.2808 0.5000 0.4384  7 Sr 3.81-4.09
Sr1 0.0000 0.0000 0.0000  4 Tl 3.63, 8 Sr 4.03-4.04
Sr2 0.5000 0.5000 0.0000  4 Tl 3.63, 8 Sr 4.03-4.04
Sr3 0.4434 0.1714 0.7692  3 Tl 3.40-3.52
Sr4 0.7875 0.8286 0.7692  3 Tl 3.40-3.52
Sr5 0.2875 0.6714 0.7692  3 Tl 3.40-3.52
Sr6 0.9434 0.3286 0.7692  3 Tl 3.40-3.52
Sr7 0.5566 0.8286 0.2308  3 Tl 3.40-3.52
Sr8 0.2125 0.1714 0.2308  3 Tl 3.40-3.52
Sr9 0.7125 0.3286 0.2308  3 Tl 3.40-3.52
Sr10 0.0566 0.6714 0.2308  3 Tl 3.40-3.52
Tl1 0.1264 0.3736 0.0000  1 Tl 3.29, 8 Sr 3.40-3.63
Tl2 0.8736 0.6264 0.0000  1 Tl 3.29, 8 Sr 3.40-3.63
Tl3 0.3736 0.8736 0.0000  1 Tl 3.29, 8 Sr 3.40-3.63
Tl4 0.6264 0.1264 0.0000  1 Tl 3.29, 8 Sr 3.40-3.63

Results
Volume   790 Å³/cell
E_form   -0.17 eV/atom